Record 1
First-principles (PBE-GGA) data for a relaxed structure of LaNd2Zn2Pb2, as listed in Alexandria.

Summary:
Calculated total energy in eV for the cell shown: -78.795
Density in g/cm³: 8.2

Cell: 4.8198 4.8198 29.4009 Å, 90.00 90.00 120.00°
Space group R-3m (No. 166, hexagonal axes)
Inequivalent atoms, fractional coordinates:
La: 0.0000 0.0000 0.0000
Nd: 0.0000 0.0000 0.1327
Zn: 0.0000 0.0000 0.4256
Pb: 0.0000 0.0000 0.2683

Record 2
First-principles (PBE-GGA) data for a relaxed structure of LaNdZnPb, as listed in Alexandria.

Summary:
Calculated total energy in eV for the cell shown: -65.502
Density in g/cm³: 8.0

Cell: 7.733 7.733 7.733 Å, 90.00 90.00 90.00°
Space group F-43m (No. 216)
Inequivalent atoms, fractional coordinates:
La: 0.000 0.000 0.000
Nd: 0.000 0.000 0.500
Zn: 0.250 0.250 0.250
Pb: 0.250 0.250 0.750